# CrCd4Si | Alexandria via LeMat-Bulk | meta-GGA SCAN | single point on PBEsol structure
# Size of the total moment, μB per cell: 4.3
# Energy relative to the elements, uncorrected, eV/atom: 0.443
# VASP energy, eV/atom: -24.5665
# Density of states at the Fermi level, states/eV per cell: 2.050
data_CrCd4Si
_cell_length_a 5.5641
_cell_length_b 5.5641
_cell_length_c 5.5641
_cell_angle_alpha 60.00
_cell_angle_beta 60.00
_cell_angle_gamma 60.00
_symmetry_space_group_name_H-M 'P 1'
_symmetry_Int_Tables_number 1
_symmetry_space_group_name_Hall 'P 1'
loop_
_atom_site_label
_atom_site_type_symbol
_atom_site_fract_x
_atom_site_fract_y
_atom_site_fract_z
_atom_site_occupancy
Cr1 Cr 0.0000 0.0000 0.0000 1
Cd1 Cd 0.3747 0.3747 0.3747 1
Cd2 Cd 0.3747 0.3747 0.8758 1
Cd3 Cd 0.3747 0.8758 0.3747 1
Cd4 Cd 0.8758 0.3747 0.3747 1
Si1 Si 0.7500 0.7500 0.7500 1

---

# CrCdSi2 | Alexandria via LeMat-Bulk | meta-GGA SCAN | single point on PBEsol structure
# Size of the total moment, μB per cell: 6.7
# Energy relative to the elements, uncorrected, eV/atom: 0.415
# VASP energy, eV/atom: -16.7928
# Density of states at the Fermi level, states/eV per cell: 4.492
data_CrCdSi2
_cell_length_a 8.7574
_cell_length_b 8.7574
_cell_length_c 8.7574
_cell_angle_alpha 153.13
_cell_angle_beta 153.13
_cell_angle_gamma 38.36
_symmetry_space_group_name_H-M 'P 1'
_symmetry_Int_Tables_number 1
_symmetry_space_group_name_Hall 'P 1'
loop_
_atom_site_label
_atom_site_type_symbol
_atom_site_fract_x
_atom_site_fract_y
_atom_site_fract_z
_atom_site_occupancy
Cr1 Cr 0.0000 0.0000 0.0000 1
Cr2 Cr 0.7500 0.2500 0.5000 1
Cd1 Cd 0.2500 0.7500 0.5000 1
Cd2 Cd 0.5000 0.5000 0.0000 1
Si1 Si 0.0450 0.6250 0.9200 1
Si2 Si 0.3750 0.2950 0.4200 1
Si3 Si 0.7050 0.1250 0.0800 1
Si4 Si 0.8750 0.9550 0.5800 1